1.
Density functional theory data (PBE-GGA) for BiPbO2F after structural relaxation.

POSCAR file:
```
BiPbO2F
1.0
-0.118 0.695 4.478
-3.008 -3.363 0.443
3.350 -2.925 0.542
O Pb F Bi
2 1 1 1
direct
0.000 0.500 0.000
0.500 0.000 0.000
0.500 0.500 0.500
0.000 0.000 0.500
0.000 0.000 0.000
```

Properties
The density of states at the Fermi level is 0.647 states/eV/cell. Its calculated total energy is -0.1845 hartree per atom. The calculation puts the spin magnetization at 0.00 μB per formula unit. For the uncorrected formation energy, the calculation gives -1.1456 eV/atom.

2.
Density functional theory data (PBE-GGA) for Pr3ErPb4 after structural relaxation.

POSCAR file:
```
Pr3ErPb4
1.0
-1.170 3.518 0.509
-5.534 -2.451 4.219
8.850 0.190 5.269
Pr Pb Er
3 4 1
direct
0.780 0.780 0.559
0.000 0.500 0.000
0.220 0.220 0.441
0.375 0.153 0.749
0.626 0.404 0.251
0.625 0.847 0.251
0.374 0.596 0.749
0.500 0.000 0.000
```

Properties
The density of states at the Fermi level is 5.657 states/eV/cell. Its calculated total energy is -0.1690 hartree per atom. As for the energy of formation: -0.383 eV per atom. The calculation puts the spin magnetization at 0.00 μB per formula unit.

3.
Density functional theory data (PBE-GGA) for NdErPb after structural relaxation.

POSCAR file:
```
NdErPb
1.0
3.940 0.000 0.000
0.000 5.273 0.000
0.000 -2.636 4.566
Nd Er Pb
1 1 1
direct
0.669 0.333 0.667
0.171 0.667 0.333
0.161 0.000 0.000
```

Properties
The density of states at the Fermi level is 2.341 states/eV/cell. Its calculated total energy is -0.1681 hartree per atom. As for the energy of formation: -0.228 eV per atom. The calculation puts the spin magnetization at 0.00 μB per formula unit. As for the relative energy among the computed polymorphs: 211 meV per atom.

4.
Density functional theory data (PBE-GGA) for ErMnGa2 after structural relaxation.

POSCAR file:
```
ErMnGa2
1.0
-4.370 1.100 -1.355
-1.930 -2.167 -3.705
-3.503 -3.072 0.633
Ga Mn Er
2 1 1
direct
0.750 0.750 0.749
0.250 0.250 0.251
0.000 0.000 0.000
0.500 0.500 0.500
```

Properties
The density of states at the Fermi level is 2.237 states/eV/cell. Its calculated total energy is -0.1909 hartree per atom. As for the energy of formation: -0.247 eV per atom. The calculation puts the spin magnetization at 3.60 μB per formula unit.

5.
Density functional theory data (PBE-GGA) for Cs3AsBr6 after structural relaxation.

POSCAR file:
```
Cs3AsBr6
1.0
8.339 0.000 -0.100
0.000 8.714 0.000
-0.047 0.000 11.990
Br Cs As
12 6 2
direct
0.237 0.333 0.452
0.405 0.526 0.712
0.737 0.167 0.952
0.095 0.026 0.788
0.763 0.667 0.548
0.595 0.474 0.288
0.340 0.760 0.447
0.160 0.260 0.053
0.263 0.833 0.048
0.905 0.974 0.212
0.660 0.240 0.553
0.840 0.740 0.947
0.500 0.500 0.000
0.978 0.431 0.754
0.478 0.069 0.254
0.000 0.000 0.500
0.522 0.931 0.746
0.022 0.569 0.246
0.500 0.500 0.500
0.000 0.000 0.000
```

Properties
The density of states at the Fermi level is 0.000 states/eV/cell. Its calculated total energy is -0.1098 hartree per atom. The calculation puts the spin magnetization at 0.00 μB per formula unit. As for the relative energy among the computed polymorphs: 0 meV per atom. For the uncorrected formation energy, the calculation gives -1.2632 eV/atom.

6.
Density functional theory data (PBE-GGA) for Tb4PrMg2 after structural relaxation.

POSCAR file:
```
Tb4PrMg2
1.0
-2.228 -4.790 1.827
5.117 -1.959 1.105
-1.882 6.385 5.894
Tb Mg Pr
4 2 1
direct
0.812 0.812 0.624
0.188 0.188 0.376
0.000 0.500 0.000
0.500 0.000 0.000
0.611 0.611 0.221
0.389 0.389 0.779
0.000 0.000 0.000
```

Properties
The density of states at the Fermi level is 10.594 states/eV/cell. Its calculated total energy is -0.1149 hartree per atom. As for the energy of formation: 0.658 eV per atom. The calculation puts the spin magnetization at 0.92 μB per formula unit.

7.
Density functional theory data (PBE-GGA) for Sc4SbTe2Se after structural relaxation.

POSCAR file:
```
Sc4SbTe2Se
1.0
4.075 0.000 0.000
0.000 7.139 -0.169
0.000 2.487 6.635
Se Sc Te Sb
1 4 2 1
direct
0.500 0.500 0.000
0.000 0.720 0.773
0.500 0.271 0.757
0.000 0.280 0.227
0.500 0.729 0.243
0.500 0.000 0.500
0.000 0.000 0.000
0.000 0.500 0.500
```

Properties
The density of states at the Fermi level is 4.817 states/eV/cell. Its calculated total energy is -0.2243 hartree per atom. The calculation puts the spin magnetization at 0.00 μB per formula unit. For the uncorrected formation energy, the calculation gives -1.2022 eV/atom.

8.
Density functional theory data (PBE-GGA) for K2RbCeF6 after structural relaxation.

POSCAR file:
```
K2RbCeF6
1.0
0.000 4.941 4.941
4.941 0.000 4.941
4.941 4.941 0.000
F Ce K Rb
6 1 2 1
direct
0.230 0.770 0.770
0.230 0.770 0.230
0.230 0.230 0.770
0.770 0.230 0.230
0.770 0.230 0.770
0.770 0.770 0.230
0.000 0.000 0.000
0.250 0.250 0.250
0.750 0.750 0.750
0.500 0.500 0.500
```

Properties
The density of states at the Fermi level is 3.339 states/eV/cell. Its calculated total energy is -0.1904 hartree per atom. The calculation puts the spin magnetization at 0.92 μB per formula unit. As for the relative energy among the computed polymorphs: 111 meV per atom. For the uncorrected formation energy, the calculation gives -3.1494 eV/atom.

9.
Density functional theory data (PBE-GGA) for Nd2Y3Mg3 after structural relaxation.

POSCAR file:
```
Nd2Y3Mg3
1.0
-1.231 1.756 -3.178
3.821 -2.580 -2.906
-8.515 -8.121 1.124
Y Mg Nd
3 3 2
direct
0.378 0.378 0.756
0.500 0.000 0.000
0.622 0.622 0.244
0.886 0.886 0.773
0.000 0.500 0.000
0.114 0.114 0.227
0.267 0.767 0.533
0.733 0.233 0.467
```

Properties
The density of states at the Fermi level is 9.416 states/eV/cell. Its calculated total energy is -0.1575 hartree per atom. As for the energy of formation: -0.072 eV per atom. The calculation puts the spin magnetization at 0.00 μB per formula unit.

10.
Density functional theory data (PBE-GGA) for Ac2TbTe4 after structural relaxation.

POSCAR file:
```
Ac2TbTe4
1.0
4.405 0.000 0.000
-2.203 7.824 0.000
0.000 0.000 15.614
Ac Te Tb
4 8 2
direct
0.868 0.736 0.924
0.132 0.264 0.424
0.868 0.736 0.576
0.132 0.264 0.076
0.013 0.025 0.250
0.500 0.000 0.500
0.214 0.429 0.628
0.987 0.975 0.750
0.214 0.429 0.872
0.500 0.000 0.000
0.786 0.571 0.128
0.786 0.571 0.372
0.370 0.739 0.250
0.630 0.261 0.750
```

Properties
The density of states at the Fermi level is 5.185 states/eV/cell. Its calculated total energy is -0.1854 hartree per atom. The calculation puts the spin magnetization at 0.00 μB per formula unit. As for the relative energy among the computed polymorphs: 81 meV per atom. For the uncorrected formation energy, the calculation gives -1.4134 eV/atom.

11.
Density functional theory data (PBE-GGA) for Na2MgReC after structural relaxation.

POSCAR file:
```
Na2MgReC
1.0
-0.259 -5.480 -0.123
1.965 -0.016 -3.416
4.750 -0.286 2.733
Na Mg C Re
2 1 1 1
direct
0.000 0.000 0.500
0.500 0.000 0.000
0.000 0.000 0.000
0.000 0.500 0.000
0.500 0.500 0.500
```

Properties
The density of states at the Fermi level is 3.129 states/eV/cell. Its calculated total energy is -0.1153 hartree per atom. As for the energy of formation: 2.043 eV per atom. The calculation puts the spin magnetization at 4.45 μB per formula unit.

12.
Density functional theory data (PBE-GGA) for La3Tl2Pd4 after structural relaxation.

POSCAR file:
```
La3Tl2Pd4
1.0
-3.027 -1.760 3.189
5.378 -0.145 1.507
-1.166 8.403 3.531
Pd Tl La
4 2 3
direct
0.713 0.426 0.088
0.287 0.574 0.912
0.078 0.156 0.628
0.922 0.844 0.372
0.674 0.348 0.781
0.326 0.652 0.219
0.629 0.257 0.389
0.371 0.743 0.611
0.000 0.000 0.000
```

Properties
The density of states at the Fermi level is 6.579 states/eV/cell. Its calculated total energy is -0.1885 hartree per atom. As for the energy of formation: -0.654 eV per atom. The calculation puts the spin magnetization at 0.00 μB per formula unit.

13.
Density functional theory data (PBE-GGA) for BaAs3Pb after structural relaxation.

POSCAR file:
```
BaAs3Pb
1.0
-1.699 2.186 -4.724
-5.189 -1.108 1.353
-0.416 4.896 2.416
As Pb Ba
3 1 1
direct
0.000 0.000 0.500
0.000 0.500 0.000
0.500 0.000 0.000
0.000 0.000 0.000
0.500 0.500 0.500
```

Properties
The density of states at the Fermi level is 6.142 states/eV/cell. Its calculated total energy is -0.1382 hartree per atom. As for the energy of formation: 0.156 eV per atom. The calculation puts the spin magnetization at 0.00 μB per formula unit. As for the relative energy among the computed polymorphs: 0 meV per atom.